# Pr2HfCl

A relaxed structure of Pr2HfCl (GGA-PBE, Alexandria via LeMat-Bulk).

* M_tot: 0.00 μB/cell
* calculated total energy: -5.609 eV/atom
* E_form (uncorrected): -269.0 meV/atom
* SG: R-3m

Unit cell a=3.3595 b=3.3595 c=11.3669 alpha=81.50 beta=81.50 gamma=60.00
Last column: nearest neighbours and their distance in Å.
Atoms (fractional coordinates):
Pr1 0.0967 0.0967 0.7099  3 Cl 3.05, 1 Hf 3.25, 6 Pr 3.36
Pr2 0.9033 0.9033 0.2901  3 Cl 3.05, 1 Hf 3.25, 6 Pr 3.36
Hf1 0.0000 0.0000 0.0000  2 Pr 3.25, 6 Hf 3.36
Cl1 0.5000 0.5000 0.5000  6 Pr 3.05, 6 Cl 3.36